# HoBe2Ni6

A relaxed HoBe2Ni6 crystal (PBE, Alexandria).

Cell and atoms, written as CIF:
```
data_HoBe2Ni6
_cell_length_a 7.033
_cell_length_b 7.033
_cell_length_c 7.033
_cell_angle_alpha 60.00
_cell_angle_beta 60.00
_cell_angle_gamma 60.00
_symmetry_space_group_name_H-M 'P 1'
_symmetry_Int_Tables_number 1
_symmetry_space_group_name_Hall 'P 1'
loop_
_atom_site_label
_atom_site_type_symbol
_atom_site_fract_x
_atom_site_fract_y
_atom_site_fract_z
Be1 Be 0.125 0.625 0.125
Be2 Be 0.625 0.125 0.125
Be3 Be 0.125 0.125 0.125
Be4 Be 0.125 0.125 0.625
Ho1 Ho 0.750 0.750 0.750
Ho2 Ho 0.500 0.500 0.500
Ni1 Ni 0.485 0.015 0.015
Ni2 Ni 0.765 0.235 0.235
Ni3 Ni 0.485 0.015 0.485
Ni4 Ni 0.235 0.235 0.765
Ni5 Ni 0.015 0.015 0.485
Ni6 Ni 0.235 0.765 0.765
Ni7 Ni 0.015 0.485 0.485
Ni8 Ni 0.235 0.765 0.235
Ni9 Ni 0.015 0.485 0.015
Ni10 Ni 0.765 0.765 0.235
Ni11 Ni 0.765 0.235 0.765
Ni12 Ni 0.485 0.485 0.015
```

Properties
The theoretical density is 7.225 Mg/m³. The calculation puts the total magnetic moment at 0.00 Bohr magnetons per cell. The value obtained for the formation enthalpy at 0 K is 183 meV per atom.